The following is a DFT calculation (GGA-PBE) of a relaxed structure of PmNd5Ga4.

Cell and atoms, written as POSCAR:
```
PmNd5Ga4
1.0
8.806 -2.189 0.000
8.806 2.189 0.000
-1.192 0.000 7.842
Pm Nd Ga
1 5 4
Cartesian
0.000 0.000 0.000 Pm
-0.596 0.000 3.921 Nd
4.492 0.000 5.536 Nd
6.036 0.000 2.008 Nd
10.384 0.000 5.834 Nd
11.929 0.000 2.306 Nd
3.521 0.000 0.086 Ga
7.364 0.000 5.735 Ga
9.056 0.000 2.107 Ga
12.899 0.000 7.756 Ga
```

## Properties
- Uncorrected energy: -43.65 eV for the cell shown
- Total magnetic moment: 0.0 μB per cell